#a
A relaxed structure of Mg8Tl2In3, computed with GGA-PBE.

abc: 5.9770 5.9770 32.3291
angles: 90.00 90.00 120.00
Space group R-3m (No. 166, hexagonal axes)
Unique sites:
Mg 0.0000 0.0000 0.2226
Mg 0.0000 0.5000 0.2770
Tl 0.0000 0.0000 0.1353
In 0.0000 0.0000 0.3121
In 0.0000 0.0000 0.5000

Summary:
- Fermi-level density of states (states/eV/atom) = 0.39
- total magnetization (μB/f.u.) = 0.000

---

#b
A relaxed structure of Mg8Tl2In3, computed with GGA-PBE.

abc: 12.994 10.108 5.002
angles: 90.00 99.89 90.00
Space group C2/m (No. 12)
Unique sites:
Mg 0.065 0.000 0.285
Mg 0.144 0.267 0.086
Mg 0.169 0.500 0.593
Tl 0.193 0.000 0.838
In 0.000 0.272 0.500
In 0.000 0.500 0.000

Summary:
- Fermi-level density of states (states/eV/atom) = 0.34
- total magnetization (μB/f.u.) = 0.000

---

Need the numbers? Relative energies in kJ/mol of atoms: #a 3.4; #b 0.0.

---

#a
A relaxed structure of MgTl12In6, computed with GGA-PBE.

abc: 11.6828 11.6828 14.3722
angles: 90.00 90.00 120.00
Space group R-3 (No. 148, hexagonal axes)
Unique sites:
Mg 0.0000 0.0000 0.0000
Tl 0.0435 0.8581 0.8100
Tl 0.0675 0.2197 0.4127
In 0.0369 0.5908 0.7074

Summary:
- Fermi-level density of states (states/eV/atom) = 0.55
- total magnetization (μB/f.u.) = 0.000

---

#b
A relaxed structure of MgTl12In6, computed with GGA-PBE.

abc: 13.3655 13.3655 11.0667
angles: 90.00 90.00 120.00
Space group R-3 (No. 148, hexagonal axes)
Unique sites:
Mg 0.0000 0.0000 0.0000
Tl 0.9999 0.2596 0.9985
Tl 0.0788 0.5411 0.1128
In 0.0803 0.9163 0.7608

Summary:
- Fermi-level density of states (states/eV/atom) = 0.35
- total magnetization (μB/f.u.) = 0.000

---

Need the numbers? Relative energies in kJ/mol of atoms: #a 0.0; #b 2.4.

---

#a
A relaxed structure of Mg4Tl3In, computed with GGA-PBE.

abc: 3.526 3.526 15.874
angles: 90.00 90.00 90.00
Space group P4/mmm (No. 123)
Unique sites:
Mg 0.000 0.000 0.122
Mg 0.000 0.000 0.374
Tl 0.500 0.500 0.248
Tl 0.500 0.500 0.500
In 0.500 0.500 0.000

Summary:
- Fermi-level density of states (states/eV/atom) = 0.33
- total magnetization (μB/f.u.) = 0.000

---

#b
A relaxed structure of Mg4Tl3In, computed with GGA-PBE.

abc: 6.783 12.366 5.092
angles: 90.00 90.00 90.00
Space group Cmmm (No. 65)
Unique sites:
Mg 0.000 0.248 0.000
Mg 0.246 0.000 0.500
Tl 0.000 0.500 0.000
Tl 0.250 0.250 0.500
In 0.000 0.000 0.000

Summary:
- Fermi-level density of states (states/eV/atom) = 0.52
- total magnetization (μB/f.u.) = 0.000

---

Need the numbers? Relative energies in kJ/mol of atoms: #a 0.0; #b 10.7.

---

#a
A relaxed structure of Mg7Tl2In, computed with GGA-PBE.

abc: 10.747 10.747 10.747
angles: 90.00 90.00 90.00
Space group Fm-3m (No. 225)
Unique sites:
Mg 0.000 0.000 0.000
Mg 0.000 0.000 0.249
Tl 0.250 0.250 0.250
In 0.000 0.000 0.500

Summary:
- Fermi-level density of states (states/eV/atom) = 0.53
- total magnetization (μB/f.u.) = 0.000

---

#b
A relaxed structure of Mg7Tl2In, computed with GGA-PBE.

abc: 4.759 4.759 21.974
angles: 90.00 90.00 90.00
Space group I4/mmm (No. 139)
Unique sites:
Mg 0.000 0.000 0.000
Mg 0.000 0.500 0.093
Mg 0.000 0.500 0.250
Tl 0.000 0.000 0.171
In 0.000 0.000 0.500

Summary:
- Fermi-level density of states (states/eV/atom) = 0.27
- total magnetization (μB/f.u.) = 0.000

---

Need the numbers? Relative energies in kJ/mol of atoms: #a 35.6; #b 0.0.

---

#a
A relaxed structure of Mg12Tl5In2, computed with GGA-PBE.

abc: 16.377 10.262 5.783
angles: 90.00 106.77 90.00
Space group C2/m (No. 12)
Unique sites:
Mg 0.051 0.000 0.292
Mg 0.100 0.250 0.614
Mg 0.105 0.500 0.017
Mg 0.198 0.241 0.205
Tl 0.000 0.500 0.500
Tl 0.179 0.000 0.853
Tl 0.209 0.500 0.553
In 0.000 0.251 0.000

Summary:
- Fermi-level density of states (states/eV/atom) = 0.47
- total magnetization (μB/f.u.) = 0.000

---

#b
A relaxed structure of Mg12Tl5In2, computed with GGA-PBE.

abc: 16.856 6.281 9.667
angles: 90.00 103.25 90.00
Space group C2/m (No. 12)
Unique sites:
Mg 0.022 0.000 0.329
Mg 0.094 0.500 0.286
Mg 0.143 0.249 0.612
Mg 0.198 0.253 0.122
Tl 0.000 0.500 0.500
Tl 0.142 0.000 0.868
Tl 0.206 0.000 0.395
In 0.000 0.251 0.000

Summary:
- Fermi-level density of states (states/eV/atom) = 0.36
- total magnetization (μB/f.u.) = 0.000

---

Need the numbers? Relative energies in kJ/mol of atoms: #a 0.0; #b 7.2.

---

#a
A relaxed structure of Mg8Tl3In, computed with GGA-PBE.

abc: 10.772 16.513 6.625
angles: 90.00 90.00 90.00
Space group Fmm2 (No. 42)
Unique sites:
Mg 0.000 0.157 0.000
Mg 0.000 0.157 0.499
Mg 0.249 0.093 0.248
Tl 0.000 0.000 0.749
Tl 0.250 0.250 0.498
In 0.000 0.000 0.249

Summary:
- Fermi-level density of states (states/eV/atom) = 0.21
- total magnetization (μB/f.u.) = 0.000

---

#b
A relaxed structure of Mg8Tl3In, computed with GGA-PBE.

abc: 8.025 8.025 10.441
angles: 90.00 90.00 90.00
Space group I-42m (No. 121)
Unique sites:
Mg 0.134 0.134 0.253
Mg 0.249 0.249 0.505
Tl 0.000 0.000 0.000
Tl 0.000 0.500 0.250
In 0.000 0.000 0.500

Summary:
- Fermi-level density of states (states/eV/atom) = 0.35
- total magnetization (μB/f.u.) = 0.000

---

Need the numbers? Relative energies in kJ/mol of atoms: #a 0.0; #b 18.7.

---

#a
A relaxed structure of MgTlIn3, computed with GGA-PBE.

abc: 4.763 7.002 8.632
angles: 109.41 92.10 90.31
Space group P-1 (No. 2)
Unique sites:
Mg 0.249 0.155 0.295
Tl 0.248 0.158 0.691
In 0.247 0.641 0.494
In 0.251 0.837 0.945
In 0.256 0.488 0.115

Summary:
- Fermi-level density of states (states/eV/atom) = 0.47
- total magnetization (μB/f.u.) = 0.000

---

#b
A relaxed structure of MgTlIn3, computed with GGA-PBE.

abc: 7.1858 7.1858 3.2645
angles: 90.00 90.00 120.00
Space group P-6m2 (No. 187)
Unique sites:
Mg 0.0000 0.0000 0.0000
Tl 0.3333 0.6667 0.0000
In 0.3901 0.1951 0.5000

Summary:
- Fermi-level density of states (states/eV/atom) = 0.49
- total magnetization (μB/f.u.) = 0.000

---

Need the numbers? Relative energies in kJ/mol of atoms: #a 0.0; #b 6.7.

---

#a
A relaxed structure of MgTl2In6, computed with GGA-PBE.

abc: 9.3119 9.3119 3.3233
angles: 90.00 90.00 120.00
Space group P-31m (No. 162)
Unique sites:
Mg 0.0000 0.0000 0.0000
Tl 0.3333 0.6667 0.5000
In 0.0000 0.3262 0.1921

Summary:
- Fermi-level density of states (states/eV/atom) = 0.40
- total magnetization (μB/f.u.) = 0.000

---

#b
A relaxed structure of MgTl2In6, computed with GGA-PBE.

abc: 9.2905 9.2905 3.3175
angles: 90.00 90.00 120.00
Space group P6/mmm (No. 191)
Unique sites:
Mg 0.0000 0.0000 0.0000
Tl 0.3333 0.6667 0.0000
In 0.0000 0.3273 0.5000

Summary:
- Fermi-level density of states (states/eV/atom) = 0.31
- total magnetization (μB/f.u.) = 0.000

---

Need the numbers? Relative energies in kJ/mol of atoms: #a 2.1; #b 0.0.

---

#a
A relaxed structure of MgTl3In, computed with GGA-PBE.

abc: 3.865 7.364 10.202
angles: 78.48 79.44 89.91
Space group P1 (No. 1)
Unique sites:
Mg 0.000 0.000 0.000
Mg 0.010 0.517 0.989
Tl 0.200 0.599 0.600
Tl 0.411 0.704 0.185
Tl 0.416 0.219 0.174
Tl 0.593 0.297 0.816
Tl 0.598 0.811 0.806
Tl 0.809 0.915 0.390
In 0.199 0.114 0.603
In 0.810 0.400 0.388

Summary:
- Fermi-level density of states (states/eV/atom) = 0.35
- total magnetization (μB/f.u.) = 0.000

---

#b
A relaxed structure of MgTl3In, computed with GGA-PBE.

abc: 3.294 5.977 16.977
angles: 90.00 90.00 90.00
Space group Amm2 (No. 38)
Unique sites:
Mg 0.000 0.000 0.000
Tl 0.000 0.000 0.316
Tl 0.500 0.248 0.657
In 0.500 0.000 0.482

Summary:
- Fermi-level density of states (states/eV/atom) = 0.55
- total magnetization (μB/f.u.) = 0.000

---

#c
A relaxed structure of MgTl3In, computed with GGA-PBE.

abc: 5.543 5.543 5.543
angles: 90.00 90.00 90.00
Space group Pm-3m (No. 221)
Unique sites:
Mg 0.000 0.000 0.000
Tl 0.000 0.000 0.500
In 0.500 0.500 0.500

Summary:
- Fermi-level density of states (states/eV/atom) = 0.80
- total magnetization (μB/f.u.) = 0.000

---

Need the numbers? Relative energies in kJ/mol of atoms: #a 0.0; #b 15.2; #c 24.6.

---

#a
A relaxed structure of Mg6TlIn5, computed with GGA-PBE.

abc: 5.908 12.662 8.603
angles: 90.00 107.75 90.00
Space group C2/m (No. 12)
Unique sites:
Mg 0.139 0.000 0.195
Mg 0.172 0.191 0.703
Tl 0.000 0.500 0.000
In 0.000 0.000 0.500
In 0.000 0.204 0.000
In 0.000 0.384 0.500

Summary:
- Fermi-level density of states (states/eV/atom) = 0.28
- total magnetization (μB/f.u.) = 0.000

---

#b
A relaxed structure of Mg6TlIn5, computed with GGA-PBE.

abc: 4.721 13.887 8.670
angles: 90.00 90.00 90.00
Space group Cmmm (No. 65)
Unique sites:
Mg 0.000 0.000 0.248
Mg 0.000 0.333 0.253
Tl 0.000 0.500 0.000
In 0.000 0.166 0.500
In 0.000 0.171 0.000
In 0.000 0.500 0.500

Summary:
- Fermi-level density of states (states/eV/atom) = 0.33
- total magnetization (μB/f.u.) = 0.000

---

Need the numbers? Relative energies in kJ/mol of atoms: #a 6.1; #b 0.0.